Entry 1:
{
  "formula": "Tl2Te",
  "functional": "GGA-PBEsol",
  "state": "optimized geometry",
  "lattice_angstrom": [[7.766, -4.424, 0.000], [7.766, 4.424, 0.000], [-5.563, 0.000, 30.342]],
  "species": ["Tl", "Tl", "Tl", "Tl", "Tl", "Tl", "Tl", "Tl", "Tl", "Tl", "Tl", "Tl", "Tl", "Tl", "Tl", "Tl", "Tl", "Tl", "Tl", "Tl", "Tl", "Tl", "Tl", "Tl", "Tl", "Tl", "Tl", "Tl", "Tl", "Tl", "Tl", "Tl", "Tl", "Tl", "Tl", "Tl", "Tl", "Tl", "Tl", "Tl", "Tl", "Tl", "Tl", "Tl", "Te", "Te", "Te", "Te", "Te", "Te", "Te", "Te", "Te", "Te", "Te", "Te", "Te", "Te", "Te", "Te", "Te", "Te", "Te", "Te", "Te", "Te"],
  "frac_coords": [[0.009, 0.822, 0.415], [0.020, 0.543, 0.879], [0.028, 0.547, 0.562], [0.067, 0.224, 0.000], [0.100, 0.195, 0.695], [0.100, 0.291, 0.312], [0.178, 0.991, 0.085], [0.195, 0.100, 0.195], [0.224, 0.067, 0.500], [0.224, 0.697, 0.192], [0.229, 0.755, 0.856], [0.245, 0.771, 0.644], [0.291, 0.100, 0.812], [0.303, 0.776, 0.308], [0.329, 0.506, 0.070], [0.336, 0.456, 0.761], [0.338, 0.391, 0.963], [0.391, 0.338, 0.463], [0.453, 0.972, 0.938], [0.456, 0.336, 0.261], [0.457, 0.980, 0.621], [0.494, 0.671, 0.430], [0.506, 0.329, 0.570], [0.543, 0.020, 0.379], [0.544, 0.664, 0.739], [0.547, 0.028, 0.062], [0.609, 0.662, 0.537], [0.662, 0.609, 0.037], [0.664, 0.544, 0.239], [0.671, 0.494, 0.930], [0.697, 0.224, 0.692], [0.709, 0.900, 0.188], [0.755, 0.229, 0.356], [0.771, 0.245, 0.144], [0.776, 0.303, 0.808], [0.776, 0.933, 0.500], [0.805, 0.900, 0.805], [0.822, 0.009, 0.915], [0.900, 0.709, 0.688], [0.900, 0.805, 0.305], [0.933, 0.776, 0.000], [0.972, 0.453, 0.438], [0.980, 0.457, 0.121], [0.991, 0.178, 0.585], [0.022, 0.515, 0.226], [0.049, 0.178, 0.895], [0.100, 0.900, 0.750], [0.178, 0.049, 0.395], [0.212, 0.723, 0.517], [0.273, 0.405, 0.649], [0.277, 0.788, 0.983], [0.313, 0.481, 0.370], [0.405, 0.273, 0.149], [0.481, 0.313, 0.870], [0.485, 0.978, 0.274], [0.515, 0.022, 0.726], [0.519, 0.687, 0.130], [0.595, 0.727, 0.851], [0.687, 0.519, 0.630], [0.723, 0.212, 0.017], [0.727, 0.595, 0.351], [0.788, 0.277, 0.483], [0.822, 0.951, 0.605], [0.900, 0.100, 0.250], [0.951, 0.822, 0.105], [0.978, 0.485, 0.774]],
  "rho_g_cm3": 9.400,
  "dft_energy_ev_per_atom": -3.18,
  "e_form_raw_ev_per_atom": -0.2465,
  "e_above_lowest_polymorph_ev_per_atom": 0.000
}

Entry 2:
{
  "formula": "Li2As2Pt",
  "functional": "GGA-PBEsol",
  "state": "optimized geometry",
  "lattice_angstrom": [[6.298, 0.000, 0.000], [0.000, 6.298, 0.000], [0.000, 0.000, 4.232]],
  "species": ["Li", "Li", "Li", "Li", "As", "As", "As", "As", "Pt", "Pt"],
  "frac_coords": [[0.171, 0.329, 0.000], [0.329, 0.829, 0.000], [0.671, 0.171, 0.000], [0.829, 0.671, 0.000], [0.138, 0.638, 0.500], [0.362, 0.138, 0.500], [0.638, 0.862, 0.500], [0.862, 0.362, 0.500], [0.000, 0.000, 0.500], [0.500, 0.500, 0.500]],
  "rho_g_cm3": 7.099,
  "dft_energy_ev_per_atom": -4.81,
  "formation_enthalpy_0k_kj_per_mol_atoms": -56.41
}

Entry 3:
{
  "formula": "Sc2GeH2",
  "functional": "GGA-PBEsol",
  "state": "optimized geometry",
  "lattice_angstrom": [[-1.760, 1.760, 4.925], [1.760, -1.760, 4.925], [1.760, 1.760, -4.925]],
  "species": ["Sc", "Sc", "Ge", "H", "H"],
  "frac_coords": [[0.149, 0.149, 0.000], [0.851, 0.851, 0.000], [0.500, 0.500, 0.000], [0.250, 0.750, 0.500], [0.750, 0.250, 0.500]],
  "rho_g_cm3": 4.476,
  "dft_energy_ev_per_atom": -5.71
}

Entry 4:
{
  "formula": "AsRuPb2",
  "functional": "GGA-PBEsol",
  "state": "optimized geometry",
  "lattice_angstrom": [[-1.608, 2.272, 6.098], [1.608, -2.272, 6.098], [1.608, 2.272, -6.098]],
  "species": ["As", "Ru", "Pb", "Pb"],
  "frac_coords": [[0.000, 0.000, 0.000], [0.151, 0.651, 0.500], [0.383, 0.383, 0.000], [0.691, 0.191, 0.500]],
  "rho_g_cm3": 11.003,
  "dft_energy_ev_per_atom": -5.61,
  "formation_enthalpy_0k_kj_per_mol_atoms": 20.03
}

Entry 5:
{
  "formula": "LaTi3Nb",
  "functional": "GGA-PBEsol",
  "state": "optimized geometry",
  "lattice_angstrom": [[4.682, 0.000, 0.000], [0.000, 4.682, 0.000], [0.000, 0.000, 4.682]],
  "species": ["La", "Ti", "Ti", "Ti", "Nb"],
  "frac_coords": [[0.000, 0.000, 0.000], [0.000, 0.000, 0.500], [0.000, 0.500, 0.000], [0.500, 0.000, 0.000], [0.500, 0.500, 0.500]],
  "rho_g_cm3": 6.075,
  "dft_energy_ev_per_atom": -6.85,
  "formation_enthalpy_0k_kj_per_mol_atoms": 132.56
}

Entry 6:
{
  "formula": "ZnWSe2N",
  "functional": "GGA-PBEsol",
  "state": "optimized geometry",
  "lattice_angstrom": [[4.912, 0.000, 0.000], [0.000, 4.912, 0.000], [0.000, 0.000, 3.521]],
  "species": ["Zn", "W", "Se", "Se", "N"],
  "frac_coords": [[0.000, 0.000, 0.000], [0.500, 0.500, 0.500], [0.000, 0.500, 0.000], [0.500, 0.000, 0.000], [0.000, 0.000, 0.500]],
  "rho_g_cm3": 8.234,
  "dft_energy_ev_per_atom": -4.97,
  "e_form_raw_ev_per_atom": 1.3484
}

Entry 7:
{
  "formula": "CrNi2Rh",
  "functional": "GGA-PBEsol",
  "state": "optimized geometry",
  "lattice_angstrom": [[4.174, -1.273, 0.000], [4.174, 1.273, 0.000], [-0.780, 0.000, 4.281]],
  "species": ["Cr", "Ni", "Ni", "Rh"],
  "frac_coords": [[0.000, 0.000, 0.000], [0.254, 0.254, 0.745], [0.505, 0.505, 0.516], [0.753, 0.753, 0.243]],
  "rho_g_cm3": 9.936,
  "dft_energy_ev_per_atom": -7.66,
  "formation_enthalpy_0k_kj_per_mol_atoms": 1.50
}

Entry 8:
{
  "formula": "Co2ReNi",
  "functional": "GGA-PBEsol",
  "state": "optimized geometry",
  "lattice_angstrom": [[2.552, 0.000, 0.000], [0.000, 3.582, 0.000], [0.000, 0.000, 4.958]],
  "species": ["Co", "Co", "Re", "Ni"],
  "frac_coords": [[0.000, 0.000, 0.000], [0.500, 0.500, 0.246], [0.500, 0.500, 0.750], [0.000, 0.000, 0.486]],
  "rho_g_cm3": 13.293,
  "dft_energy_ev_per_atom": -8.68,
  "formation_enthalpy_0k_kj_per_mol_atoms": 5.77,
  "e_above_lowest_polymorph_ev_per_atom": 0.087
}

Entry 9:
{
  "formula": "WBr2Cl",
  "functional": "GGA-PBEsol",
  "state": "optimized geometry",
  "lattice_angstrom": [[-1.537, 2.423, 6.244], [1.537, -2.423, 6.244], [1.537, 2.423, -6.244]],
  "species": ["W", "Br", "Br", "Cl"],
  "frac_coords": [[0.000, 0.000, 0.000], [0.164, 0.664, 0.500], [0.499, 0.499, 0.000], [0.848, 0.348, 0.500]],
  "rho_g_cm3": 6.768,
  "dft_energy_ev_per_atom": -4.90,
  "e_form_raw_ev_per_atom": -0.0069,
  "e_above_lowest_polymorph_ev_per_atom": 0.000
}

Entry 10:
{
  "formula": "NaYPO4F",
  "functional": "GGA-PBEsol",
  "state": "optimized geometry",
  "lattice_angstrom": [[4.454, -3.463, 0.000], [4.454, 3.463, 0.000], [-1.790, 0.000, 6.196]],
  "species": ["Na", "Na", "Y", "Y", "P", "P", "O", "O", "O", "O", "O", "O", "O", "O", "F", "F"],
  "frac_coords": [[0.207, 0.793, 0.000], [0.793, 0.207, 0.000], [0.217, 0.217, 0.616], [0.783, 0.783, 0.384], [0.346, 0.346, 0.224], [0.654, 0.654, 0.776], [0.128, 0.481, 0.346], [0.242, 0.242, 0.989], [0.481, 0.128, 0.346], [0.481, 0.481, 0.772], [0.519, 0.519, 0.228], [0.519, 0.872, 0.654], [0.758, 0.758, 0.011], [0.872, 0.519, 0.654], [0.018, 0.018, 0.310], [0.982, 0.982, 0.690]],
  "rho_g_cm3": 3.925,
  "dft_energy_ev_per_atom": -7.61,
  "e_form_raw_ev_per_atom": -2.9895
}

Entry 11:
{
  "formula": "ReAg2W",
  "functional": "GGA-PBEsol",
  "state": "optimized geometry",
  "lattice_angstrom": [[-2.016, 2.016, 3.809], [2.016, -2.016, 3.809], [2.016, 2.016, -3.809]],
  "species": ["Re", "Ag", "Ag", "W"],
  "frac_coords": [[0.000, 0.000, 0.000], [0.250, 0.750, 0.500], [0.500, 0.500, 0.000], [0.750, 0.250, 0.500]],
  "rho_g_cm3": 15.714,
  "dft_energy_ev_per_atom": -7.78,
  "formation_enthalpy_0k_kj_per_mol_atoms": 63.92,
  "e_above_lowest_polymorph_ev_per_atom": 0.206
}

Entry 12:
{
  "formula": "Cs2HF",
  "functional": "GGA-PBEsol",
  "state": "optimized geometry",
  "lattice_angstrom": [[-3.342, 3.342, 6.613], [3.342, -3.342, 6.613], [3.342, 3.342, -6.613]],
  "species": ["Cs", "Cs", "Cs", "Cs", "H", "H", "F", "F"],
  "frac_coords": [[0.106, 0.625, 0.981], [0.375, 0.356, 0.481], [0.644, 0.125, 0.019], [0.875, 0.894, 0.519], [0.250, 0.750, 0.500], [0.500, 0.500, 0.000], [0.000, 0.000, 0.000], [0.750, 0.250, 0.500]],
  "rho_g_cm3": 3.214,
  "dft_energy_ev_per_atom": -3.14
}